This record from Alexandria via LeMat-Bulk describes V3AgO after structural relaxation. The functional is GGA+U.

Properties
**Space-group type**: Pm-3m (221)
**Relative energy among the computed polymorphs**: 1.8222 eV per atom
**Raw total energy**: -4.09 eV/atom
**V**: 26.1 Å³/atom
**D(E_F)**: 0.84 states/eV/atom

a b c (Å): 5.072 5.072 5.072
angles (deg): 90.00 90.00 90.00
Each line ends with the local moment (μB).
Element x y z (fractional)
1 V 0.000 0.000 0.500  2.79
2 O 0.500 0.500 0.500  -0.48
3 V 0.000 0.500 0.000  2.79
4 Ag 0.000 0.000 0.000  0.08
5 V 0.500 0.000 0.000  2.79